# 1
Here is AlSn2Bi after structural relaxation from Alexandria via LeMat-Bulk. Energies are from PBE. Values from VASP.

SG: P4/mmm, No. 123
E_form (meV per atom): 142
V (Å³ per cell): 104.4
Energy relative to the lowest polymorph listed for this composition (meV per atom): 32
M_tot (μB/f.u.): 0.0

Cell and atoms, written as Quantum ESPRESSO input:
```
&SYSTEM
  ibrav = 0, nat = 4, ntyp = 3
/
ATOMIC_SPECIES
Al 26.98 Al.upf
Sn 118.71 Sn.upf
Bi 208.98 Bi.upf
CELL_PARAMETERS angstrom
3.5125 0.0000 0.0000
0.0000 3.5125 0.0000
0.0000 0.0000 8.4614
ATOMIC_POSITIONS crystal
Al 0.0000 0.0000 0.0000
Sn 0.5000 0.5000 0.2115
Sn 0.5000 0.5000 0.7885
Bi 0.0000 0.0000 0.5000
```

---

# 2
Here is Mg5Hg2Pd2Pt after structural relaxation from Alexandria via LeMat-Bulk. Energies are from PBE. Values from VASP.

SG: P4/mbm, No. 127
E_form (meV per atom): -498
V (Å³ per cell): 390.0
M_tot (μB/f.u.): 0.0

Cell and atoms, written as Quantum ESPRESSO input:
```
&SYSTEM
  ibrav = 0, nat = 20, ntyp = 4
/
ATOMIC_SPECIES
Mg 24.30 Mg.upf
Hg 200.59 Hg.upf
Pd 106.42 Pd.upf
Pt 195.08 Pt.upf
CELL_PARAMETERS angstrom
11.3174 0.0000 0.0000
0.0000 11.3174 0.0000
0.0000 0.0000 3.0450
ATOMIC_POSITIONS crystal
Mg 0.0000 0.5000 0.0000
Mg 0.0397 0.1957 0.0000
Mg 0.1957 0.9603 0.0000
Mg 0.3043 0.4603 0.0000
Mg 0.4603 0.6957 0.0000
Mg 0.5000 0.0000 0.0000
Mg 0.5397 0.3043 0.0000
Mg 0.6957 0.5397 0.0000
Mg 0.8043 0.0397 0.0000
Mg 0.9603 0.8043 0.0000
Hg 0.1797 0.6797 0.5000
Hg 0.3203 0.1797 0.5000
Hg 0.6797 0.8203 0.5000
Hg 0.8203 0.3203 0.5000
Pd 0.1377 0.3623 0.5000
Pd 0.3623 0.8623 0.5000
Pd 0.6377 0.1377 0.5000
Pd 0.8623 0.6377 0.5000
Pt 0.0000 0.0000 0.5000
Pt 0.5000 0.5000 0.5000
```

---

# 3
Here is MnAgBr6 after structural relaxation from Alexandria via LeMat-Bulk. Energies are from PBE. Values from VASP.

SG: C2/m, No. 12
Formation energy without anion corrections (eV per atom): -0.37
V (Å³ per cell): 271.9
Energy relative to the lowest polymorph listed for this composition (meV per atom): 0
M_tot (μB/f.u.): 2.9

Cell and atoms, written as Quantum ESPRESSO input:
```
&SYSTEM
  ibrav = 0, nat = 8, ntyp = 3
/
ATOMIC_SPECIES
Mn 54.94 Mn.upf
Ag 107.87 Ag.upf
Br 79.90 Br.upf
CELL_PARAMETERS angstrom
3.7565 -5.5986 0.0000
3.7565 5.5986 0.0000
-2.0477 0.0000 6.4650
ATOMIC_POSITIONS crystal
Mn 0.0000 0.0000 0.0000
Ag 0.0000 0.0000 0.5000
Br 0.0418 0.7300 0.1929
Br 0.2700 0.9582 0.8071
Br 0.3000 0.3000 0.2655
Br 0.7000 0.7000 0.7345
Br 0.7300 0.0418 0.1929
Br 0.9582 0.2700 0.8071
```

---

# 4
Here is BaZr4Cu3S12 after structural relaxation from Alexandria via LeMat-Bulk. Energies are from PBE. Values from VASP.

SG: Im-3, No. 204
Formation energy without anion corrections (eV per atom): -1.09
V (Å³ per cell): 420.0
M_tot (μB/f.u.): 0.0

Cell and atoms, written as Quantum ESPRESSO input:
```
&SYSTEM
  ibrav = 0, nat = 20, ntyp = 4
/
ATOMIC_SPECIES
Ba 137.33 Ba.upf
Zr 91.22 Zr.upf
Cu 63.55 Cu.upf
S 32.06 S.upf
CELL_PARAMETERS angstrom
-4.7176 4.7176 4.7176
4.7176 -4.7176 4.7176
4.7176 4.7176 -4.7176
ATOMIC_POSITIONS crystal
Ba 0.0000 0.0000 0.0000
Zr 0.0000 0.0000 0.5000
Zr 0.0000 0.5000 0.0000
Zr 0.5000 0.0000 0.0000
Zr 0.5000 0.5000 0.5000
Cu 0.0000 0.5000 0.5000
Cu 0.5000 0.0000 0.5000
Cu 0.5000 0.5000 0.0000
S 0.1519 0.8337 0.3182
S 0.1663 0.3182 0.4846
S 0.1663 0.6818 0.8481
S 0.3182 0.1519 0.8337
S 0.3182 0.4846 0.1663
S 0.4846 0.1663 0.3182
S 0.5154 0.8337 0.6818
S 0.6818 0.5154 0.8337
S 0.6818 0.8481 0.1663
S 0.8337 0.3182 0.1519
S 0.8337 0.6818 0.5154
S 0.8481 0.1663 0.6818
```

---

# 5
Here is VFeCl4 after structural relaxation from Alexandria via LeMat-Bulk. Energies are from PBE. Values from VASP.

SG: C2/c, No. 15
Formation energy without anion corrections (eV per atom): -0.82
V (Å³ per cell): 285.7
M_tot (μB/f.u.): 6.7

Cell and atoms, written as Quantum ESPRESSO input:
```
&SYSTEM
  ibrav = 0, nat = 12, ntyp = 3
/
ATOMIC_SPECIES
V 50.94 V.upf
Fe 55.84 Fe.upf
Cl 35.45 Cl.upf
CELL_PARAMETERS angstrom
3.5799 -7.7221 0.0000
3.5799 7.7221 0.0000
-3.5712 0.0000 5.1672
ATOMIC_POSITIONS crystal
V 0.1873 0.8127 0.7500
V 0.8127 0.1873 0.2500
Fe 0.3250 0.6750 0.2500
Fe 0.6750 0.3250 0.7500
Cl 0.0356 0.4385 0.7351
Cl 0.1655 0.3288 0.2536
Cl 0.3288 0.1655 0.7536
Cl 0.4385 0.0356 0.2351
Cl 0.5615 0.9644 0.7649
Cl 0.6712 0.8345 0.2464
Cl 0.8345 0.6712 0.7464
Cl 0.9644 0.5615 0.2649
```

---

# 6
Here is Y2CdW after structural relaxation from Alexandria via LeMat-Bulk. Energies are from PBE. Values from VASP.

SG: F-43m, No. 216
E_form (meV per atom): 524
V (Å³ per cell): 91.2
M_tot (μB/f.u.): 0.0

Cell and atoms, written as Quantum ESPRESSO input:
```
&SYSTEM
  ibrav = 0, nat = 4, ntyp = 3
/
ATOMIC_SPECIES
Y 88.91 Y.upf
Cd 112.41 Cd.upf
W 183.84 W.upf
CELL_PARAMETERS angstrom
0.0000 3.5722 3.5722
3.5722 0.0000 3.5722
3.5722 3.5722 0.0000
ATOMIC_POSITIONS crystal
Y 0.0000 0.0000 0.0000
Y 0.2500 0.2500 0.2500
Cd 0.7500 0.7500 0.7500
W 0.5000 0.5000 0.5000
```

---

# 7
Here is SiTeSeN2 after structural relaxation from Alexandria via LeMat-Bulk. Energies are from PBE. Values from VASP.

SG: P4/mmm, No. 123
Formation energy without anion corrections (eV per atom): 0.88
V (Å³ per cell): 72.2
Energy relative to the lowest polymorph listed for this composition (meV per atom): 79
M_tot (μB/f.u.): 0.0

Cell and atoms, written as Quantum ESPRESSO input:
```
&SYSTEM
  ibrav = 0, nat = 5, ntyp = 4
/
ATOMIC_SPECIES
Si 28.09 Si.upf
Te 127.60 Te.upf
Se 78.96 Se.upf
N 14.01 N.upf
CELL_PARAMETERS angstrom
3.8088 0.0000 0.0000
0.0000 3.8088 0.0000
0.0000 0.0000 4.9751
ATOMIC_POSITIONS crystal
Si 0.0000 0.0000 0.0000
Te 0.5000 0.5000 0.5000
Se 0.0000 0.0000 0.5000
N 0.0000 0.5000 0.0000
N 0.5000 0.0000 0.0000
```

---

# 8
Here is ZnCd3Sn after structural relaxation from Alexandria via LeMat-Bulk. Energies are from PBE. Values from VASP.

SG: Pm-3m, No. 221
E_form (meV per atom): 430
V (Å³ per cell): 184.4
Energy relative to the lowest polymorph listed for this composition (meV per atom): 364
M_tot (μB/f.u.): 0.0

Cell and atoms, written as Quantum ESPRESSO input:
```
&SYSTEM
  ibrav = 0, nat = 5, ntyp = 3
/
ATOMIC_SPECIES
Zn 65.41 Zn.upf
Cd 112.41 Cd.upf
Sn 118.71 Sn.upf
CELL_PARAMETERS angstrom
5.6921 0.0000 0.0000
0.0000 5.6921 0.0000
0.0000 0.0000 5.6921
ATOMIC_POSITIONS crystal
Zn 0.0000 0.0000 0.0000
Cd 0.0000 0.5000 0.5000
Cd 0.5000 0.0000 0.5000
Cd 0.5000 0.5000 0.0000
Sn 0.5000 0.5000 0.5000
```